Record 1
Th4Ir, optimized geometry, DFT GGA-PBE; DFT total energy = -75.41 eV per cell; crystal system = cubic; DOS at the Fermi energy = 1.48 states/eV per atom; energy relative to the lowest polymorph listed for this composition = 235 meV per atom; space-group type = Fd-3m (227)
1.0
0.000 5.521 5.521
5.521 0.000 5.521
5.521 5.521 0.000
Th Ir
8 2
Direct
0.206 0.765 0.765
0.235 0.235 0.235
0.235 0.235 0.794
0.235 0.794 0.235
0.765 0.206 0.765
0.765 0.765 0.206
0.765 0.765 0.765
0.794 0.235 0.235
0.375 0.375 0.375
0.625 0.625 0.625

***

Record 2
BaHBr, optimized geometry, DFT GGA-PBE; DFT total energy = -20.66 eV per cell; crystal system = orthorhombic; space-group type = Immm (71)
1.0
-2.399 2.414 8.419
2.399 -2.414 8.419
2.399 2.414 -8.419
Ba H Br
2 2 2
Direct
0.122 0.122 0.000
0.878 0.878 0.000
0.250 0.000 0.250
0.750 0.000 0.750
0.333 0.333 0.000
0.667 0.667 0.000

***

Record 3
NaLiBi, optimized geometry, DFT GGA-PBE; DFT total energy = -8.25 eV per cell; crystal system = hexagonal; DOS at the Fermi energy = 0.50 states/eV per atom; energy relative to the lowest polymorph listed for this composition = 38 meV per atom; space-group type = P-6m2 (187)
1.0
5.011 0.000 0.000
-2.506 4.340 0.000
0.000 0.000 3.589
Na Li Bi
1 1 1
Direct
0.000 0.000 0.000
0.333 0.667 0.500
0.667 0.333 0.500

***

Record 4
PuZrCuOs, optimized geometry, DFT GGA-PBE; DFT total energy = -38.49 eV per cell; crystal system = cubic; DOS at the Fermi energy = 2.22 states/eV per atom; space-group type = F-43m (216)
1.0
0.000 3.354 3.354
3.354 0.000 3.354
3.354 3.354 0.000
Pu Zr Cu Os
1 1 1 1
Direct
0.000 0.000 0.000
0.500 0.500 0.500
0.750 0.750 0.750
0.250 0.250 0.250

***

Record 5
TbSc2PaBi4, optimized geometry, DFT GGA-PBE; DFT total energy = -46.77 eV per cell; crystal system = monoclinic; DOS at the Fermi energy = 0.93 states/eV per atom; space-group type = P2/m (10)
1.0
7.558 0.000 0.000
0.000 4.375 0.000
-2.519 0.000 7.177
Tb Sc Pa Bi
1 2 1 4
Direct
0.000 0.000 0.000
0.500 0.000 0.500
0.500 0.500 0.000
0.000 0.500 0.500
0.265 0.500 0.256
0.267 0.000 0.756
0.733 0.000 0.244
0.735 0.500 0.744

***

Record 6
MgTe, optimized geometry, DFT GGA-PBE; uncorrected formation energy = -0.464 eV/atom; DFT total energy = -11.33 eV per cell; crystal system = tetragonal; DOS at the Fermi energy = 0.08 states/eV per atom; space-group type = P4/nmm (129)
1.0
5.673 0.000 0.000
0.000 5.673 0.000
0.000 0.000 5.931
Mg Te
2 2
Direct
0.250 0.250 0.051
0.750 0.750 0.949
0.250 0.750 0.000
0.750 0.250 0.000

***

Record 7
TbSmDy3Er, optimized geometry, DFT GGA-PBE; DFT total energy = -55.22 eV per cell; crystal system = orthorhombic; DOS at the Fermi energy = 1.35 states/eV per atom; space-group type = Cmcm (63)
1.0
2.511 -7.538 0.000
2.511 7.538 0.000
0.000 0.000 10.052
Tb Sm Dy Er
2 2 6 2
Direct
0.000 0.000 0.000
0.000 0.000 0.500
0.500 0.500 0.250
0.500 0.500 0.750
0.168 0.832 0.750
0.333 0.667 0.000
0.333 0.667 0.500
0.667 0.333 0.000
0.667 0.333 0.500
0.832 0.168 0.250
0.167 0.833 0.250
0.833 0.167 0.750

***

Record 8
Li4EuGe, optimized geometry, DFT GGA-PBE; DFT total energy = -23.39 eV per cell; crystal system = cubic; DOS at the Fermi energy = 1.75 states/eV per atom; space-group type = F-43m (216)
1.0
0.000 3.878 3.878
3.878 0.000 3.878
3.878 3.878 0.000
Li Eu Ge
4 1 1
Direct
0.376 0.376 0.376
0.376 0.376 0.871
0.376 0.871 0.376
0.871 0.376 0.376
0.000 0.000 0.000
0.750 0.750 0.750